No. 1
DFT (GGA-PBE) results for a relaxed PmCuNiAs2 crystal.

Lattice parameters (Å, degrees): 4.0088 4.0088 6.1632 108.98 108.98 90.00
With the nearest neighbours (Å) after each atom.
Atoms (fractional coordinates):
As: 0.3721 0.3721 0.7442  2 Ni 2.41, 2 Cu 2.41
Cu: 0.2500 0.7500 0.5000  4 As 2.41
As: 0.6279 0.6279 0.2558  2 Ni 2.41, 2 Cu 2.41
Ni: 0.7500 0.2500 0.5000  4 As 2.41
Pm: 0.0000 0.0000 0.0000  8 As 3.16, 4 Ni 3.39, 4 Cu 3.39

Calculated values
E_tot ... -5.468 eV per atom
Fermi-level density of states ... 2.48 states/eV per cell
Formation energy from the elements ... -0.68 eV/atom
SG ... I-4m2 (119)

No. 2
DFT (GGA-PBE) results for a relaxed Ti2GePt2 crystal.

Lattice parameters (Å, degrees): 4.2798 4.2798 6.0473 69.28 69.28 90.00
With the nearest neighbours (Å) after each atom.
Atoms (fractional coordinates):
Pt: 0.3768 0.3768 0.2464  4 Ti 2.52, 1 Pt 2.58
Ti: 0.7500 0.2500 0.5000  4 Pt 2.52
Ti: 0.2500 0.7500 0.5000  4 Pt 2.52
Pt: 0.6232 0.6232 0.7536  4 Ti 2.52, 1 Pt 2.58
Ge: 0.0000 0.0000 0.0000  8 Pt 3.29, 8 Ti 3.38

Calculated values
E_tot ... -6.926 eV per atom
Fermi-level density of states ... 1.75 states/eV per cell
Energy relative to the lowest polymorph listed for this composition ... 269 meV per atom
Formation energy from the elements ... -0.43 eV/atom
SG ... I4/mmm (139)

No. 3
DFT (GGA-PBE) results for a relaxed Sc2NbN crystal.

Lattice parameters (Å, degrees): 8.7528 8.7528 8.7528 21.96 21.96 21.96
With the nearest neighbours (Å) after each atom.
Atoms (fractional coordinates):
Sc: 0.9274 0.9274 0.9274  1 N 1.86
Sc: 0.0726 0.0726 0.0726  1 N 1.86
Nb: 0.5000 0.5000 0.5000  6 Sc 3.08, 6 Nb 3.33
N: 0.0000 0.0000 0.0000  2 Sc 1.86

Calculated values
E_form (uncorrected) ... 0.29 eV/atom
E_tot ... -7.474 eV per atom
Fermi-level density of states ... 1.96 states/eV per cell
SG ... R-3m (166)